The following is a DFT calculation (PBE) of a relaxed BaLiCa2 crystal.

Energy relative to the elements (eV per formula unit): 0.347
Calculated total energy (eV per formula unit): -7.49
Offset from the most stable computed form (meV per atom): 58.5

Cell: 5.3342 5.3342 6.0467 Å, 90.00 90.00 90.00°
Closest atoms and distances in Å follow each position.
Space group P4/mmm (No. 123)
Symmetry-distinct sites (fractional):
Ba  0.0000  0.0000  0.0000  4 Li 3.77, 8 Ca 4.03
Li  0.5000  0.5000  0.0000  4 Ba 3.77, 8 Ca 4.03
Ca  0.0000  0.5000  0.5000  4 Ca 3.77, 4 Ba 4.03, 4 Li 4.03